Entry one
Entry from the Alexandria database: a geometry-optimized PmLuCu2 structure (GGA-PBE).

Summary:
- Space-group type: No. 225

Lattice parameters (Å, degrees): 4.926 4.926 4.926 60.00 60.00 60.00
Element x y z (fractional)
Lu1 0.500 0.500 0.500
Cu1 0.250 0.250 0.250
Cu2 0.750 0.750 0.750
Pm1 0.000 0.000 0.000

***

Entry two
Entry from the Alexandria database: a geometry-optimized PmLuCu2 structure (GGA-PBE).

Summary:
- Space-group type: No. 123

Lattice parameters (Å, degrees): 3.449 3.449 7.046 90.00 90.00 90.00
Element x y z (fractional)
Lu1 0.500 0.500 0.000
Cu1 0.000 0.000 0.223
Cu2 0.000 0.000 0.777
Pm1 0.500 0.500 0.500

***

Q: What are the energies relative to the best structure? A: entry one 19; entry two 0, in meV/atom.